Here is a relaxed TcTe2C crystal from Alexandria. Energies are from PBE-GGA.

The structure in POSCAR format:
```
TcTe2C
1.0
-2.853 2.853 5.313
2.853 -2.853 5.313
2.853 2.853 -5.313
Tc Te C
2 4 2
Direct
0.000 0.000 0.000
0.750 0.250 0.500
0.163 0.625 0.038
0.375 0.413 0.538
0.587 0.125 0.962
0.875 0.837 0.462
0.250 0.750 0.500
0.500 0.500 0.000
```

Values from the calculation:
Raw total energy ... -5.35 eV per atom
Raw formation energy ... 1.122 eV per atom
Size of the total moment ... 0.00 μB/cell